Record 1
First-principles (GGA-PBE) data for a geometry-optimized InPdAu structure, as listed in Alexandria via LeMat-Bulk.

Cell: 8.0366 8.0366 7.6993 Å, 131.95 131.95 73.69°
Sites, in units of the cell vectors:
In: 0.3138 0.3138 0.0000
In: 0.5638 0.0638 0.5000
In: 0.9362 0.4362 0.5000
In: 0.6862 0.6862 0.0000
Pd: 0.5918 0.0918 0.1836
Pd: 0.3418 0.3418 0.6836
Pd: 0.9082 0.4082 0.8164
Pd: 0.6582 0.6582 0.3164
Au: 0.1250 0.3750 0.2500
Au: 0.1250 0.8750 0.2500
Au: 0.1250 0.8750 0.7500
Au: 0.6250 0.8750 0.7500

Computed properties:
The space-group type is Fddd, No. 70. The calculated formation energy comes out at -0.0671 eV per atom. The calculation puts the total magnetization at 0.00 μB/cell.

Record 2
First-principles (GGA-PBE) data for a geometry-optimized NaZnSnSe3 structure, as listed in Alexandria via LeMat-Bulk.

Cell: 3.9438 8.0250 10.2363 Å, 101.80 90.00 90.00°
Sites, in units of the cell vectors:
Zn: 0.2500 0.0807 0.6028
Zn: 0.7500 0.9193 0.3972
Na: 0.2500 0.2410 0.2924
Na: 0.7500 0.7590 0.7076
Se: 0.7500 0.2308 0.5306
Se: 0.7500 0.4215 0.1449
Se: 0.2500 0.0628 0.8402
Se: 0.7500 0.9372 0.1598
Se: 0.2500 0.7692 0.4694
Se: 0.2500 0.5785 0.8551
Sn: 0.2500 0.6791 0.1285
Sn: 0.7500 0.3209 0.8715

Computed properties:
The space-group type is P2_1/m, No. 11. For the uncorrected formation energy, the calculation gives -60.8 kJ per mole of atoms. The calculation puts the total magnetization at 0.00 μB/cell.

Which value of total magnetization does entry 2 give?
0.00 μB/cell

Copy entry 2 word for word.
First-principles (GGA-PBE) data for a geometry-optimized NaZnSnSe3 structure, as listed in Alexandria via LeMat-Bulk.

Cell: 3.9438 8.0250 10.2363 Å, 101.80 90.00 90.00°
Sites, in units of the cell vectors:
Zn: 0.2500 0.0807 0.6028
Zn: 0.7500 0.9193 0.3972
Na: 0.2500 0.2410 0.2924
Na: 0.7500 0.7590 0.7076
Se: 0.7500 0.2308 0.5306
Se: 0.7500 0.4215 0.1449
Se: 0.2500 0.0628 0.8402
Se: 0.7500 0.9372 0.1598
Se: 0.2500 0.7692 0.4694
Se: 0.2500 0.5785 0.8551
Sn: 0.2500 0.6791 0.1285
Sn: 0.7500 0.3209 0.8715

Computed properties:
The space-group type is P2_1/m, No. 11. For the uncorrected formation energy, the calculation gives -60.8 kJ per mole of atoms. The calculation puts the total magnetization at 0.00 μB/cell.